Computed, not measured: Ce3Si2 after structural relaxation at the PBE level of DFT.

The size of the total moment is 3.03 μB per cell. The value obtained for the total DFT energy (no corrections) is -6.180 eV/atom.

The space group is I4/mmm (No. 139) and the conventional cell measures 3.8586, 3.8586 and 15.5261 Å, with angles of 90.00, 90.00 and 90.00 degrees. Symmetry generates all atoms from Ce at (0.0000, 0.0000, 0.0000), Ce at (0.0000, 0.0000, 0.1857) and Si at (0.0000, 0.0000, 0.3951).